# MgSi3Te

A relaxed MgSi3Te crystal (GGA-PBE, Alexandria via LeMat-Bulk).

Summary:
VASP energy: -3.17 eV per atom
raw formation energy: 1.028 eV/atom
M_tot: 0.0 Bohr magnetons per cell
crystal system: cubic

Cell and atoms, written as CIF:
```
data_MgSi3Te
_cell_length_a 4.963
_cell_length_b 4.963
_cell_length_c 4.963
_cell_angle_alpha 90.00
_cell_angle_beta 90.00
_cell_angle_gamma 90.00
_space_group_name_H-M_alt 'P 1'
_space_group_IT_number 1
loop_
_space_group_symop_operation_xyz
'x,y,z'
loop_
_atom_site_label
_atom_site_fract_x
_atom_site_fract_y
_atom_site_fract_z
Si1 0.000 0.500 0.000
Si2 0.000 0.000 0.500
Si3 0.500 0.000 0.000
Te1 0.500 0.500 0.500
Mg1 0.000 0.000 0.000
```

***

# Tl2CuPtI6

A relaxed Tl2CuPtI6 crystal (GGA-PBE, Alexandria via LeMat-Bulk).

Summary:
VASP energy: -2.69 eV per atom
raw formation energy: -0.269 eV/atom
M_tot: 0.0 Bohr magnetons per cell
crystal system: trigonal

Cell and atoms, written as CIF:
```
data_Tl2CuPtI6
_cell_length_a 7.840
_cell_length_b 7.840
_cell_length_c 14.307
_cell_angle_alpha 74.10
_cell_angle_beta 74.10
_cell_angle_gamma 60.00
_space_group_name_H-M_alt 'P 1'
_space_group_IT_number 1
loop_
_space_group_symop_operation_xyz
'x,y,z'
loop_
_atom_site_label
_atom_site_fract_x
_atom_site_fract_y
_atom_site_fract_z
Tl1 0.891 0.891 0.326
Tl2 0.109 0.109 0.674
Tl3 0.692 0.692 0.924
Tl4 0.308 0.308 0.076
Cu1 0.582 0.582 0.254
Cu2 0.418 0.418 0.746
Pt1 0.000 0.000 0.000
Pt2 0.500 0.500 0.500
I1 0.865 0.378 0.378
I2 0.378 0.865 0.378
I3 0.378 0.378 0.378
I4 0.135 0.622 0.622
I5 0.622 0.135 0.622
I6 0.622 0.622 0.622
I7 0.707 0.207 0.879
I8 0.207 0.707 0.879
I9 0.207 0.207 0.879
I10 0.293 0.793 0.121
I11 0.793 0.293 0.121
I12 0.793 0.793 0.121
```

***

# AcTbInN3

A relaxed AcTbInN3 crystal (GGA-PBE, Alexandria via LeMat-Bulk).

Summary:
VASP energy: -6.80 eV per atom
raw formation energy: -0.722 eV/atom
M_tot: 0.0 Bohr magnetons per cell
crystal system: monoclinic

Cell and atoms, written as CIF:
```
data_AcTbInN3
_cell_length_a 3.513
_cell_length_b 6.986
_cell_length_c 9.482
_cell_angle_alpha 96.45
_cell_angle_beta 90.00
_cell_angle_gamma 90.00
_space_group_name_H-M_alt 'P 1'
_space_group_IT_number 1
loop_
_space_group_symop_operation_xyz
'x,y,z'
loop_
_atom_site_label
_atom_site_fract_x
_atom_site_fract_y
_atom_site_fract_z
Ac1 0.750 0.808 0.759
Ac2 0.250 0.192 0.241
Tb1 0.250 0.660 0.110
Tb2 0.750 0.340 0.890
In1 0.250 0.158 0.596
In2 0.750 0.842 0.404
N1 0.250 0.810 0.537
N2 0.750 0.885 0.180
N3 0.750 0.406 0.127
N4 0.750 0.190 0.463
N5 0.250 0.594 0.873
N6 0.250 0.115 0.820
```

***

Q: Look up the VASP energy of the first one.
A: -3.17 eV per atom

***

Q: What is the formula in the first record?
A: MgSi3Te